Entry 1:
8
Lattice="-3.505 -3.483 -5.647 6.624 -2.190 -2.761 1.427 -5.107 -2.721" Properties=species:S:1:pos:R:3 comment="Sc2ReW | Alexandria via LeMat-Bulk | PBE | optimized geometry" magmom_total_mub_per_fu=0.0 ef_mev_per_atom=818 e_tot_ev_per_atom=-8.6977 volume_a3_per_atom=19.1 pbc="T T T"
Sc -1.069 -3.790 -4.657
Sc 4.122 -3.018 -3.010
Sc 2.120 -5.918 -5.144
Sc 3.919 -8.834 -9.448
Re 0.000 0.000 0.000
Re -0.259 -5.713 -6.286
W 1.560 -2.837 -4.204
W 4.805 -5.067 -4.843


Entry 2:
3
Lattice="-2.883 1.142 -0.719 1.804 -1.312 -2.271 -3.160 -7.005 1.538" Properties=species:S:1:pos:R:3 comment="Tl2Ir | Alexandria via LeMat-Bulk | PBE | optimized geometry" magmom_total_mub_per_fu=0.0 ef_mev_per_atom=505 e_tot_ev_per_atom=-4.0265 volume_a3_per_atom=22.9 pbc="T T T"
Ir 0.000 0.000 0.000
Tl -3.561 -4.644 -0.146
Tl -0.677 -2.531 -1.306


Entry 3:
8
Lattice="7.922 0.000 0.000 0.000 7.922 0.000 3.961 3.961 2.983" Properties=species:S:1:pos:R:3 comment="Mg2InAu | Alexandria via LeMat-Bulk | PBE | optimized geometry" magmom_total_mub_per_fu=0.0 ef_mev_per_atom=-137 e_tot_ev_per_atom=-2.4383 volume_a3_per_atom=23.4 pbc="T T T"
Mg 6.268 1.980 0.746
Mg 1.654 5.941 0.746
Mg 5.941 5.615 2.237
Mg 9.902 10.228 2.237
Au 0.000 0.000 0.000
Au 7.922 3.961 1.491
In 3.961 3.961 0.000
In 3.961 7.922 1.491


Entry 4:
80
Lattice="-1.848 2.951 -14.002 -12.098 -5.774 5.335 3.065 12.171 7.117" Properties=species:S:1:pos:R:3 comment="Sr3Te5S12 | Alexandria via LeMat-Bulk | PBE | optimized geometry" magmom_total_mub_per_fu=0.0 e_tot_ev_per_atom=-3.9653 volume_a3_per_atom=28.9 formation_energy_uncorrected_ev_per_atom=-0.451 pbc="T T T"
Sr -5.539 1.569 -7.611
Sr -10.307 -0.227 -7.361
Sr -7.851 4.383 3.199
Sr -0.825 4.580 -0.165
Sr -2.363 4.903 -9.805
Sr -7.488 0.541 -0.137
Sr -3.393 8.807 -1.413
Sr -8.518 4.445 8.256
Sr -10.056 4.768 -1.385
Sr -3.030 4.965 -4.749
Sr -0.573 9.575 5.811
Sr -5.341 7.778 6.061
Te -4.001 1.246 2.030
Te -6.049 -2.887 2.668
Te 0.000 0.000 0.000
Te -3.334 1.185 -3.027
Te 0.609 7.561 -3.443
Te -6.973 -1.411 -4.333
Te -8.155 0.602 4.920
Te -0.216 12.141 -3.607
Te -7.798 3.169 -4.498
Te 0.094 9.513 0.754
Te -10.974 -0.165 -2.304
Te -5.440 4.674 -0.775
Te -0.924 1.476 -7.001
Te 1.533 6.085 3.558
Te -3.083 6.179 2.948
Te -10.665 -2.793 2.058
Te -4.517 3.198 6.226
Te -2.726 8.746 -6.470
Te -7.546 8.163 1.478
Te -6.879 8.102 -3.579
S -2.727 1.790 -8.956
S -5.839 2.860 1.154
S -5.397 4.266 -9.415
S -3.096 1.933 -5.503
S -7.560 5.789 0.423
S -8.406 1.506 -9.136
S -8.925 1.508 2.610
S -10.916 -3.506 4.543
S -10.700 4.333 1.642
S -7.794 0.809 -5.584
S -5.937 4.207 -5.983
S -12.424 -2.364 -6.512
S -7.134 2.820 5.808
S -5.398 -0.294 -2.478
S -10.003 -0.472 6.395
S -0.499 7.699 -1.008
S -1.574 1.761 1.262
S -8.687 -1.396 -2.276
S -11.769 0.710 -4.616
S -5.044 -0.950 1.116
S -9.920 5.197 5.566
S -7.384 3.243 -1.935
S -10.077 4.415 -4.490
S -2.635 11.642 -2.805
S -3.497 6.105 0.385
S -0.804 4.933 2.940
S -8.245 -2.294 1.255
S 0.889 8.638 3.067
S -0.961 4.151 -7.116
S -5.837 10.298 -2.665
S -2.193 10.744 0.726
S -10.382 1.649 -0.541
S -9.307 7.587 -2.812
S -0.877 9.820 -7.945
S -3.746 6.528 -7.358
S 1.543 11.712 4.962
S -5.483 9.642 0.928
S -0.180 5.014 -3.192
S -3.087 8.539 4.035
S -4.944 5.141 4.433
S 0.035 12.854 -6.092
S -1.956 7.840 -4.160
S -7.785 7.415 3.953
S -2.475 7.842 7.586
S -3.321 3.558 -1.973
S -5.484 5.082 7.865
S -5.042 6.488 -2.704
S -8.154 7.558 7.406


Entry 5:
4
Lattice="-2.568 -1.667 -1.624 4.309 -2.405 -4.345 0.031 -2.882 2.908" Properties=species:S:1:pos:R:3 comment="NaSnClO | Alexandria via LeMat-Bulk | PBE | optimized geometry" magmom_total_mub_per_fu=0.0 e_tot_ev_per_atom=-4.3499 volume_a3_per_atom=22.8 formation_energy_uncorrected_ev_per_atom=-1.318 pbc="T T T"
Na 1.631 -3.613 1.130
Sn 2.741 -4.258 -3.660
Cl 0.757 -3.328 -1.478
O 0.126 -2.088 1.944


Entry 6:
16
Lattice="-3.810 1.654 -6.816 5.593 -5.457 -4.451 -3.984 -3.232 6.116" Properties=species:S:1:pos:R:3 comment="Pm8GeC3I4 | Alexandria via LeMat-Bulk | PBE | optimized geometry" magmom_total_mub_per_fu=0.0 e_tot_ev_per_atom=-5.5405 volume_a3_per_atom=26.6 formation_energy_uncorrected_ev_per_atom=-0.760 pbc="T T T"
Pm -0.859 -6.338 1.090
Pm 0.972 -4.852 -1.721
Pm -1.414 -3.121 0.033
Pm -2.610 -5.578 -2.043
Pm 0.410 -1.456 -3.108
Pm -0.786 -3.913 -5.184
Pm -3.173 -2.182 -3.430
Pm -1.341 -0.696 -6.241
Ge 2.797 -2.728 -2.226
C 0.892 -1.901 -5.633
C -1.100 -3.517 -2.575
C 0.805 -4.344 0.832
I -1.905 0.827 -3.408
I -3.897 -0.789 -0.350
I 0.000 0.000 0.000
I -1.992 -1.616 3.058


Entry 7:
8
Lattice="7.480 0.000 0.000 0.000 7.718 -0.527 -3.740 -4.132 5.210" Properties=species:S:1:pos:R:3 comment="K2TlCl5 | Alexandria via LeMat-Bulk | PBE | optimized geometry" magmom_total_mub_per_fu=0.0 e_tot_ev_per_atom=-3.0349 volume_a3_per_atom=35.6 formation_energy_uncorrected_ev_per_atom=-1.311 pbc="T T T"
K 0.000 3.475 2.468
K 3.740 -0.181 2.359
Tl 3.740 3.613 4.356
Cl 5.669 1.644 0.527
Cl 1.811 1.644 0.526
Cl 1.968 1.747 4.503
Cl -1.967 1.747 4.503
Cl 3.740 4.359 1.964


Entry 8:
4
Lattice="0.000 4.333 4.333 4.333 0.000 4.333 4.333 4.333 0.000" Properties=species:S:1:pos:R:3 comment="Rb2CrCl | Alexandria via LeMat-Bulk | PBE | optimized geometry" magmom_total_mub_per_fu=5.0 e_tot_ev_per_atom=-3.4512 volume_a3_per_atom=40.7 formation_energy_uncorrected_ev_per_atom=-0.100 pbc="T T T"
Cr 4.333 4.333 4.333
Rb 2.166 2.166 2.166
Rb 6.499 6.499 6.499
Cl 0.000 0.000 0.000